1.
Compound: Ba5Ru2Br2O9
Source: Alexandria via LeMat-Bulk
Functional: GGA-PBEsol
Structure: optimized geometry

The calculation puts the raw formation energy at -2075.8 meV per atom. The calculation puts the density of states at the Fermi level at 0.02 states/eV/atom.

It has space group P6_3/mmc (No. 194), with a = 5.8193 Å, b = 5.8193 Å, c = 25.6039 Å, α = 90.00°, β = 90.00° and γ = 120.00°. The inequivalent atoms are Ba at (0.3333, 0.6667, 0.0860), Ba at (0.3333, 0.6667, 0.2500), Ba at (0.3333, 0.6667, 0.6732), Ru at (0.0000, 0.0000, 0.1953), Br at (0.3333, 0.6667, 0.5459), O at (0.1510, 0.3020, 0.7500) and O at (0.1605, 0.3209, 0.1583).

2.
Compound: Ba5SiBr6O4
Source: Alexandria via LeMat-Bulk
Functional: GGA-PBEsol
Structure: optimized geometry

The calculation puts the raw formation energy at -2568.0 meV per atom. The calculation puts the density of states at the Fermi level at 0.00 states/eV/atom.

It has space group C2/c (No. 15), with a = 9.724 Å, b = 15.149 Å, c = 12.015 Å, α = 90.00°, β = 104.98° and γ = 90.00°. The inequivalent atoms are Ba at (0.000, 0.208, 0.250), Ba at (0.052, 0.377, 0.984), Ba at (0.160, 0.076, 0.635), Si at (0.000, 0.424, 0.250), Br at (0.000, 0.243, 0.750), Br at (0.132, 0.150, 0.049), Br at (0.185, 0.032, 0.368), Br at (0.250, 0.250, 0.500), O at (0.077, 0.480, 0.367) and O at (0.119, 0.359, 0.215).

Quick rundown of magnetization, same order as above: 6.02, 0.00 μB/f.u.